(P)
Sn2TeO | PBE-GGA | relaxed

Properties
Size of the total moment: 0.00 Bohr magnetons per cell

The structure in POSCAR format:
```
Sn2TeO
1.0
-2.9307 2.9307 6.7678
2.9307 -2.9307 6.7678
2.9307 2.9307 -6.7678
Sn Te O
4 2 2
direct
0.0056 0.6250 0.8806
0.3750 0.2556 0.3806
0.7444 0.1250 0.1194
0.8750 0.9944 0.6194
0.2500 0.7500 0.5000
0.5000 0.5000 0.0000
0.0000 0.0000 0.0000
0.7500 0.2500 0.5000
```


(Q)
Sn2TeO | PBE-GGA | relaxed

Properties
Size of the total moment: 0.00 Bohr magnetons per cell

The structure in POSCAR format:
```
Sn2TeO
1.0
0.0000 3.5814 3.5814
3.5814 0.0000 3.5814
3.5814 3.5814 0.0000
Sn Te O
2 1 1
direct
0.2500 0.2500 0.2500
0.7500 0.7500 0.7500
0.0000 0.0000 0.0000
0.5000 0.5000 0.5000
```


Name the least stable of them. (Q).


(P)
SnTeO2 | PBE-GGA | relaxed

Properties
Size of the total moment: 0.00 Bohr magnetons per cell

The structure in POSCAR format:
```
SnTeO2
1.0
1.7709 1.0224 6.8150
-1.7709 1.0224 6.8150
0.0000 -2.0448 6.8150
Sn Te O
1 1 2
direct
0.0000 0.0000 0.0000
0.5000 0.5000 0.5000
0.1166 0.1166 0.1166
0.8834 0.8834 0.8834
```


(Q)
SnTeO2 | PBE-GGA | relaxed

Properties
Size of the total moment: 0.00 Bohr magnetons per cell

The structure in POSCAR format:
```
SnTeO2
1.0
0.0000 3.1391 3.1391
3.1391 0.0000 3.1391
3.1391 3.1391 0.0000
Sn Te O
1 1 2
direct
0.0000 0.0000 0.0000
0.5000 0.5000 0.5000
0.2500 0.2500 0.2500
0.7500 0.7500 0.7500
```


Name the least stable of them. (Q).